Here is a relaxed structure of Sr2LiTl3 from Alexandria. Energies are from GGA-PBE.

It has space group Cm (No. 8), with a = 12.021 Å, b = 5.122 Å, c = 8.090 Å, α = 90.00°, β = 132.02° and γ = 90.00°. The distinct sites, in fractional coordinates, are Sr at (0.000, 0.000, 0.000), Sr at (0.081, 0.000, 0.572), Li at (0.369, 0.000, 0.552), Tl at (0.181, 0.500, 0.965), Tl at (0.222, 0.500, 0.417) and Tl at (0.379, 0.000, 0.179).

Its polymorph energy (0 for the lowest one) is 0.00 eV per formula unit. Its formation energy is -0.341 eV/atom. The calculation puts the theoretical density at 7.14 g cm⁻³.

Here is a relaxed structure of SmNpBiO6 from Alexandria. Energies are from GGA-PBE.

It has space group P-31c (No. 163), with a = 5.8988 Å, b = 5.8988 Å, c = 9.4736 Å, α = 90.00°, β = 90.00° and γ = 120.00°. The distinct sites, in fractional coordinates, are Sm at (0.3333, 0.6667, 0.2500), Np at (0.3333, 0.6667, 0.7500), Bi at (0.0000, 0.0000, 0.0000) and O at (0.0336, 0.3661, 0.6340).

The calculation puts the theoretical density at 8.05 g cm⁻³. As for the energy relative to the elements, uncorrected: -2513 meV/atom.

Here is a relaxed structure of TmThNiOs from Alexandria. Energies are from GGA-PBE.

It has space group F-43m (No. 216), with a = 6.908 Å, b = 6.908 Å, c = 6.908 Å, α = 90.00°, β = 90.00° and γ = 90.00°. The distinct sites, in fractional coordinates, are Tm at (0.000, 0.000, 0.000), Th at (0.000, 0.000, 0.500), Ni at (0.250, 0.250, 0.750) and Os at (0.250, 0.250, 0.250).

Its formation energy is -0.338 eV/atom. The calculation puts the theoretical density at 13.09 g cm⁻³.

Number 1: calculated volume 370.1 Å³ per cell. Number 2: calculated volume 285.5 Å³ per cell. Number 3: calculated volume 329.7 Å³ per cell.